1.
DFT (meta-GGA SCAN) results for a PBEsol-optimized structure of Ba3HoIrRuO9.

theoretical density: 7868 kg/m³
ΔE_f (raw): -2456.2 meV per atom

a b c (Å): 5.8495 5.8495 14.4466
angles (deg): 90.00 90.00 120.00
Closest atoms and distances in Å follow each position.
Space group P6_3mc (No. 186)
Asymmetric unit:
Ba: 0.0000 0.0000 0.0000 x2  12 O 2.93-2.97
Ba: 0.3333 0.6667 0.1561 x2  12 O 2.89-3.07
Ba: 0.3333 0.6667 0.8412 x2  12 O 2.89-3.01
Ho: 0.0000 0.0000 0.2496 x2  6 O 2.16-2.20
Ir: 0.3333 0.6667 0.5854 x2  6 O 1.96-2.03
Ru: 0.3333 0.6667 0.4132 x2  6 O 1.93-2.02
O: 0.0186 0.5093 0.4987 x6  1 Ru 2.02, 1 Ir 2.03
O: 0.1758 0.3516 0.6644 x6  1 Ir 1.96, 1 Ho 2.16
O: 0.1765 0.3529 0.3379 x6  1 Ru 1.93

2.
DFT (meta-GGA SCAN) results for a PBEsol-optimized structure of Ba3Ho2MoO9.

theoretical density: 7209 kg/m³
ΔE_f (raw): -3215.0 meV per atom

a b c (Å): 10.3966 5.9409 14.6460
angles (deg): 90.00 90.61 90.00
Closest atoms and distances in Å follow each position.
Space group C2/c (No. 15)
Asymmetric unit:
Ba: 0.0000 0.0013 0.2500 x4  7 O 2.70-2.97
Ba: 0.1657 0.4997 0.4131 x8  7 O 2.69-2.98
Ho: 0.1676 0.4983 0.6668 x8  6 O 2.14-2.32
Mo: 0.0000 0.0000 0.0000 x4  6 O 1.92-1.93
O: 0.0000 0.4912 0.2500 x4  2 Ho 2.14
O: 0.0667 0.2600 0.5628 x8  1 Mo 1.92
O: 0.0884 0.1973 0.0844 x8  1 Mo 1.93
O: 0.1505 0.0009 0.9238 x8  1 Mo 1.93
O: 0.2319 0.1992 0.7346 x8  2 Ho 2.14

3.
DFT (meta-GGA SCAN) results for a PBEsol-optimized structure of BaHo2NiO5.

theoretical density: 8515 kg/m³
ΔE_f (raw): -3122.3 meV per atom

a b c (Å): 3.7078 5.6886 11.2033
angles (deg): 90.00 90.00 90.00
Closest atoms and distances in Å follow each position.
Space group Immm (No. 71)
Asymmetric unit:
Ba: 0.0000 0.0000 0.0000 x2  10 O 2.84-2.91
Ho: 0.0000 0.5000 0.2019 x4  7 O 2.23-2.37
Ni: 0.0000 0.0000 0.5000 x2  2 O 1.85
O: 0.0000 0.2390 0.3504 x8  1 Ni 2.16, 3 Ho 2.23-2.37
O: 0.0000 0.5000 0.0000 x2  2 Ni 1.85

4.
DFT (meta-GGA SCAN) results for a PBEsol-optimized structure of BaHo2O4.

theoretical density: 8340 kg/m³
ΔE_f (raw): -3628.0 meV per atom

a b c (Å): 10.3152 3.4220 11.9846
angles (deg): 90.00 90.00 90.00
Closest atoms and distances in Å follow each position.
Space group Pnma (No. 62)
Asymmetric unit:
Ba: 0.2472 0.2500 0.1497 x4  8 O 2.70-2.89
Ho: 0.0745 0.2500 0.3894 x4  6 O 2.22-2.30
Ho: 0.0774 0.2500 0.8910 x4  6 O 2.23-2.32
O: 0.0184 0.7500 0.7824 x4  3 Ho 2.23-2.27
O: 0.0690 0.2500 0.5745 x4  3 Ho 2.22-2.30
O: 0.1153 0.7500 0.0175 x4  3 Ho 2.27-2.32
O: 0.2100 0.7500 0.3417 x4  3 Ho 2.27-2.28

5.
DFT (meta-GGA SCAN) results for a PBEsol-optimized structure of Ba3Ho4O9.

theoretical density: 7613 kg/m³
ΔE_f (raw): -3509.9 meV per atom

a b c (Å): 6.0415 6.0415 25.1651
angles (deg): 90.00 90.00 120.00
Closest atoms and distances in Å follow each position.
Space group R3 (No. 146, hexagonal axes)
Asymmetric unit:
Ba: 0.0000 0.0000 0.0000 x3  6 O 2.77-2.79
Ba: 0.0000 0.0000 0.1650 x3  6 O 2.74-2.77
Ba: 0.0000 0.0000 0.5880 x3  3 O 2.67
Ho: 0.0000 0.0000 0.3000 x3  6 O 2.20-2.25
Ho: 0.0000 0.0000 0.4253 x3  6 O 2.18-2.40
Ho: 0.0000 0.0000 0.7393 x3  6 O 2.19-2.36
Ho: 0.0000 0.0000 0.8639 x3  6 O 2.20-2.28
O: 0.0016 0.5603 0.5823 x9  2 Ho 2.20
O: 0.0119 0.4553 0.0251 x9  3 Ho 2.19-2.40
O: 0.1123 0.3486 0.4706 x9  3 Ho 2.18-2.36

6.
DFT (meta-GGA SCAN) results for a PBEsol-optimized structure of Ba8Ho3Pt4O18.

theoretical density: 7632 kg/m³
ΔE_f (raw): -2568.0 meV per atom

a b c (Å): 8.3353 8.3353 8.3353
angles (deg): 90.00 90.00 90.00
Closest atoms and distances in Å follow each position.
Space group Pm-3m (No. 221)
Asymmetric unit:
Ba: 0.2376 0.2376 0.2376 x8  9 O 2.80-2.96
Ho: 0.0000 0.0000 0.5000 x3  6 O 2.18
Pt: 0.0000 0.0000 0.0000 x1  6 O 1.99
Pt: 0.0000 0.5000 0.5000 x3  4 O 1.99
O: 0.0000 0.0000 0.2390 x6  1 Pt 1.99, 1 Ho 2.18
O: 0.0000 0.2614 0.5000 x12  1 Pt 1.99, 1 Ho 2.18